First-principles (PBE-GGA) data for KAcTlO3 after structural relaxation, as listed in Alexandria.

Results
- Space-group type: P2_1/m
- E_form (uncorrected): -1847.3 meV/atom
- Electronic total energy: -33.5 eV per formula unit
- V: 24.952 A^3/atom

The structure in POSCAR format:
```
KAcTlO3
1.0
7.232 0.000 0.000
0.000 3.764 0.000
-3.417 0.000 11.000
K Ac Tl O
2 2 2 6
Cartesian
0.489 0.941 3.065
3.327 2.823 7.936
-0.625 0.941 6.774
4.441 2.823 4.226
0.347 2.823 9.741
3.468 0.941 1.259
-0.483 2.823 5.134
-1.298 2.823 8.283
2.523 2.823 2.308
1.293 0.941 8.692
5.114 0.941 2.717
4.298 0.941 5.867
```

***

First-principles (PBE-GGA) data for KAc2TlO4 after structural relaxation, as listed in Alexandria.

Results
- Space-group type: Cmcm
- E_form (uncorrected): -2286.3 meV/atom
- Electronic total energy: -49.8 eV per formula unit
- V: 22.387 A^3/atom

The structure in POSCAR format:
```
KAc2TlO4
1.0
1.979 -6.649 0.000
1.979 6.649 0.000
0.000 0.000 13.609
K Ac Tl O
2 4 2 8
Cartesian
1.979 6.621 10.206
1.979 -6.621 3.402
1.979 1.790 7.530
1.979 1.790 12.883
1.979 -1.790 0.725
1.979 -1.790 6.079
1.979 2.939 3.402
1.979 -2.939 10.206
0.000 0.000 0.000
0.000 0.000 6.804
1.979 3.517 1.003
1.979 3.517 5.801
1.979 1.811 10.206
1.979 -1.811 3.402
1.979 -3.517 7.808
1.979 -3.517 12.605
```

***

First-principles (PBE-GGA) data for K4Ac3TmO8 after structural relaxation, as listed in Alexandria.

Results
- Space-group type: R-3m
- E_form (uncorrected): -2590.0 meV/atom
- Electronic total energy: -102.3 eV per formula unit
- V: 19.366 A^3/atom

The structure in POSCAR format:
```
K4Ac3TmO8
1.0
3.758 2.170 6.335
-3.758 2.170 6.335
0.000 -4.339 6.335
K Ac Tm O
4 3 1 8
Cartesian
0.000 0.000 0.000
-1.879 -1.085 6.335
-1.879 1.085 12.669
0.000 2.170 6.335
-3.758 0.000 9.502
-1.879 1.085 3.167
1.879 1.085 3.167
0.000 0.000 9.502
0.000 0.000 4.425
-1.753 -1.012 10.700
0.000 -2.024 8.304
-1.753 1.012 8.304
1.753 -1.012 10.700
0.000 2.024 10.700
1.753 1.012 8.304
0.000 0.000 14.579
```